Compound: ZrCrNi3
Source: Alexandria
Functional: PBE
Structure: relaxed

Cell: 4.2587 4.2587 4.2587 Å, 90.00 90.00 90.00°
Last column: nearest neighbours and their distance in Å.
Atoms (fractional coordinates):
Zr 0.0000 0.0000 0.0000  12 Ni 3.01
Cr 0.5000 0.5000 0.5000  6 Ni 2.13
Ni 0.0000 0.5000 0.5000  2 Cr 2.13
Ni 0.5000 0.0000 0.5000  2 Cr 2.13
Ni 0.5000 0.5000 0.0000  2 Cr 2.13

Output
energy above the most stable polymorph in this dataset: 0.0 meV per atom
energy relative to the elements: 0.575 eV/atom
density of states at the Fermi level: 6.7 states/eV/cell
total magnetization: 0.00 μB per formula unit
uncorrected energy: -6.5278 eV per atom